No. 1
Density functional theory data (GGA-PBE) for a geometry-optimized Pm8MgGe2 structure.

Lattice parameters (Å, degrees): 5.801 8.274 8.274 115.60 99.60 99.60
Sites, in units of the cell vectors:
Ge 0.000 0.308 0.692
Ge 0.000 0.692 0.308
Pm 0.702 0.407 0.407
Pm 0.500 0.752 0.248
Pm 0.926 0.682 0.925
Pm 0.500 0.248 0.752
Pm 0.926 0.925 0.682
Pm 0.074 0.075 0.318
Pm 0.074 0.318 0.075
Pm 0.298 0.593 0.593
Mg 0.500 0.000 0.000

Symmetry ... C2/m, No. 12
Raw total energy ... -4.6824 eV/atom
Crystal system ... monoclinic

No. 2
Density functional theory data (GGA-PBE) for a geometry-optimized ScGeSeS structure.

Lattice parameters (Å, degrees): 6.762 3.742 7.104 90.00 106.16 90.00
Sites, in units of the cell vectors:
Ge 0.748 0.000 0.964
Ge 0.748 0.500 0.464
Sc 0.296 0.500 0.915
Sc 0.296 0.000 0.415
S 0.504 0.500 0.644
S 0.504 0.000 0.144
Se 0.048 0.000 0.668
Se 0.048 0.500 0.168

Symmetry ... Cm, No. 8
ΔE_f (raw) ... -0.876 eV per atom
Raw total energy ... -5.5161 eV/atom
Crystal system ... monoclinic

No. 3
Density functional theory data (GGA-PBE) for a geometry-optimized SrLi2Pd2Pb2 structure.

Lattice parameters (Å, degrees): 4.557 4.557 9.258 75.75 75.75 60.00
Sites, in units of the cell vectors:
Pb 0.251 0.251 0.246
Pb 0.749 0.749 0.754
Li 0.856 0.856 0.431
Li 0.144 0.144 0.569
Pd 0.449 0.449 0.654
Pd 0.551 0.551 0.346
Sr 0.000 0.000 0.000

Symmetry ... R-3m, No. 166
Raw total energy ... -3.7472 eV/atom
Crystal system ... trigonal

No. 4
Density functional theory data (GGA-PBE) for a geometry-optimized CaPm2Tm3Te6 structure.

Lattice parameters (Å, degrees): 4.362 8.828 9.857 103.64 102.78 90.00
Sites, in units of the cell vectors:
Te 0.340 0.409 0.680
Te 0.667 0.075 0.335
Te 0.998 0.254 0.997
Te 0.002 0.746 0.003
Te 0.333 0.925 0.665
Te 0.660 0.591 0.320
Tm 0.500 0.500 0.000
Tm 0.170 0.829 0.339
Tm 0.830 0.171 0.661
Ca 0.500 0.000 0.000
Pm 0.826 0.654 0.652
Pm 0.174 0.346 0.348

Symmetry ... C2/m, No. 12
ΔE_f (raw) ... -1.336 eV per atom
Raw total energy ... -4.9836 eV/atom
Crystal system ... monoclinic

No. 5
Density functional theory data (GGA-PBE) for a geometry-optimized Pr3DyHo structure.

Lattice parameters (Å, degrees): 3.594 11.119 17.715 90.00 90.00 90.00
Sites, in units of the cell vectors:
Pr 0.250 0.057 0.576
Pr 0.750 0.943 0.424
Pr 0.250 0.500 0.250
Pr 0.250 0.557 0.924
Pr 0.750 0.500 0.750
Pr 0.750 0.057 0.076
Pr 0.250 0.443 0.576
Pr 0.750 0.557 0.424
Pr 0.750 0.000 0.750
Pr 0.250 0.943 0.924
Pr 0.750 0.443 0.076
Pr 0.250 0.000 0.250
Dy 0.749 0.250 0.898
Dy 0.251 0.250 0.398
Dy 0.749 0.750 0.602
Dy 0.251 0.750 0.102
Ho 0.250 0.250 0.726
Ho 0.750 0.250 0.226
Ho 0.750 0.750 0.274
Ho 0.250 0.750 0.774

Symmetry ... Pbcm, No. 57
Raw total energy ... -4.5403 eV/atom
Crystal system ... orthorhombic

No. 6
Density functional theory data (GGA-PBE) for a geometry-optimized RbSr2SeN structure.

Lattice parameters (Å, degrees): 5.994 4.339 5.994 90.00 90.00 90.00
Sites, in units of the cell vectors:
N 0.000 0.500 0.000
Rb 0.000 0.000 0.000
Sr 0.000 0.000 0.500
Sr 0.500 0.000 0.000
Se 0.500 0.500 0.500

Symmetry ... P4/mmm, No. 123
ΔE_f (raw) ... 0.665 eV per atom
Raw total energy ... -2.5628 eV/atom
Crystal system ... tetragonal

No. 7
Density functional theory data (GGA-PBE) for a geometry-optimized BC2 structure.

Lattice parameters (Å, degrees): 6.197 6.197 5.079 102.11 102.11 23.89
Sites, in units of the cell vectors:
C 0.318 0.318 0.660
C 0.247 0.247 0.379
C 0.597 0.597 0.047
C 0.915 0.915 0.210
C 0.670 0.670 0.335
C 0.668 0.668 0.832
C 0.246 0.246 0.869
C 0.595 0.595 0.547
B 0.326 0.326 0.164
B 0.897 0.897 0.714
B 0.010 0.010 0.013
B 0.013 0.013 0.481

Symmetry ... Cm, No. 8
Raw total energy ... -8.0508 eV/atom
Crystal system ... monoclinic